Record 1
Compound: LiAl2In
Source: Alexandria via LeMat-Bulk
Functional: meta-GGA SCAN
Structure: single point on PBEsol structure

Output
Uncorrected energy = -12.912 eV per atom
Crystal system = tetragonal
V = 17.93 Å³ per atom

Unit cell a=4.0863 b=4.0863 c=4.2949 alpha=90.00 beta=90.00 gamma=90.00
Closest atoms and distances in Å follow each position.
Atoms (fractional coordinates):
Li1 0.0000 0.0000 0.0000  4 In 2.89, 8 Al 2.96
Al1 0.0000 0.5000 0.5000  4 Al 2.89, 4 In 2.96, 4 Li 2.96
Al2 0.5000 0.0000 0.5000  4 Al 2.89, 4 In 2.96, 4 Li 2.96
In1 0.5000 0.5000 0.0000  4 Li 2.89, 8 Al 2.96

***

Record 2
Compound: Si2SnOsPt
Source: Alexandria via LeMat-Bulk
Functional: meta-GGA SCAN
Structure: single point on PBEsol structure

Output
Crystal system = tetragonal
V = 20.72 Å³ per atom
Formation energy from raw total energies = 0.48 eV/atom

Unit cell a=4.4936 b=4.4936 c=5.1305 alpha=90.00 beta=90.00 gamma=90.00
Closest atoms and distances in Å follow each position.
Atoms (fractional coordinates):
Si1 0.0000 0.5000 0.0000  2 Os 2.25
Si2 0.5000 0.0000 0.0000  2 Os 2.25
Sn1 0.0000 0.0000 0.5000  2 Os 2.57
Os1 0.0000 0.0000 0.0000  4 Si 2.25
Pt1 0.5000 0.5000 0.5000  4 Sn 3.18, 8 Si 3.41

***

Record 3
Compound: CsBPbI2F4
Source: Alexandria via LeMat-Bulk
Functional: meta-GGA SCAN
Structure: single point on PBEsol structure

Output
Crystal system = monoclinic
V = 26.99 Å³ per atom
Formation energy from raw total energies = -2.29 eV/atom

Unit cell a=6.0071 b=6.0071 c=6.7347 alpha=90.92 beta=90.92 gamma=90.59
Closest atoms and distances in Å follow each position.
Atoms (fractional coordinates):
Cs1 0.0000 0.0000 0.0000  6 F 3.43-3.70
B1 0.4735 0.5265 0.0000  4 F 1.41-1.42
Pb1 0.4800 0.5200 0.5000  4 F 2.78-2.80
I1 0.4898 0.0222 0.6267  2 Pb 3.12
I2 0.9778 0.5102 0.3733  2 Pb 3.12
F1 0.2831 0.5269 0.8733  1 B 1.42
F2 0.4707 0.3346 0.1187  1 B 1.41
F3 0.4731 0.7169 0.1267  1 B 1.42
F4 0.6654 0.5293 0.8813  1 B 1.41